(1)
First-principles (PBE) data for a geometry-optimized Na3LaTc structure, as listed in Alexandria via LeMat-Bulk.

abc: 5.9876 21.9700 5.1830
angles: 90.00 90.00 90.00
Space group Cmcm (No. 63)
Inequivalent atoms, fractional coordinates:
Na: 0.0000 0.0000 0.0000 [4 per cell]
Na: 0.2401 0.3657 0.2500 [8 per cell]
La: 0.0000 0.2232 0.2500 [4 per cell]
Tc: 0.0000 0.2679 0.7500 [4 per cell]

Computed properties:
- Formation energy from the elements: 0.591 eV/atom
- Volume: 34.09 Å³/atom
- Energy: -3.260 eV per atom
- Offset from the most stable computed form: 556.1 meV per atom


(2)
First-principles (PBE) data for a geometry-optimized ReBr3O structure, as listed in Alexandria via LeMat-Bulk.

abc: 4.5839 4.5839 4.5839
angles: 90.00 90.00 90.00
Space group Pm-3m (No. 221)
Inequivalent atoms, fractional coordinates:
Re: 0.0000 0.0000 0.0000 [1 per cell]
Br: 0.0000 0.5000 0.5000 [3 per cell]
O: 0.5000 0.5000 0.5000 [1 per cell]

Computed properties:
- Volume: 19.26 Å³/atom
- Energy: -2.757 eV per atom
- Offset from the most stable computed form: 755.4 meV per atom


(3)
First-principles (PBE) data for a geometry-optimized PrGdCu2 structure, as listed in Alexandria via LeMat-Bulk.

abc: 4.2599 4.2599 19.5479
angles: 90.00 90.00 120.00
Space group R-3m (No. 166, hexagonal axes)
Inequivalent atoms, fractional coordinates:
Pr: 0.0000 0.0000 0.0000 [3 per cell]
Gd: 0.0000 0.0000 0.5000 [3 per cell]
Cu: 0.0000 0.0000 0.2441 [6 per cell]

Computed properties:
- Formation energy from the elements: 0.038 eV/atom
- Volume: 25.60 Å³/atom
- Energy: -6.726 eV per atom
- Offset from the most stable computed form: 205.2 meV per atom


(4)
First-principles (PBE) data for a geometry-optimized CoN2Cl structure, as listed in Alexandria via LeMat-Bulk.

abc: 5.3694 5.3694 5.3694
angles: 90.00 90.00 90.00
Space group Fm-3m (No. 225)
Inequivalent atoms, fractional coordinates:
Co: 0.0000 0.0000 0.0000 [4 per cell]
N: 0.2500 0.2500 0.2500 [8 per cell]
Cl: 0.0000 0.0000 0.5000 [4 per cell]

Computed properties:
- Volume: 9.68 Å³/atom
- Energy: -4.036 eV per atom
- Offset from the most stable computed form: 1525.5 meV per atom


Question: Which of these has the lowest energy?
Answer: PrGdCu2